1.
A plane-wave DFT calculation with PBE was carried out for Ce2TmPt9 after structural relaxation.

Unit cell a=5.4026 b=5.4026 c=26.9401 alpha=90.00 beta=90.00 gamma=120.00
Closest atoms and distances in Å follow each position.
Space group R-3m (No. 166, hexagonal axes)
Inequivalent atoms, fractional coordinates:
Ce: 0.0000 0.0000 0.1385 [6 per cell]  12 Pt 3.07-3.35
Tm: 0.0000 0.0000 0.0000 [3 per cell]  6 Pt 3.12
Pt: 0.0000 0.0000 0.3329 [6 per cell]  6 Pt 2.74-2.78
Pt: 0.0000 0.0000 0.5000 [3 per cell]  6 Pt 2.72
Pt: 0.0031 0.5016 0.9155 [18 per cell]  7 Pt 2.68-2.78

Results
ΔH_f (0 K)   -86 kJ per mole of atoms
Energy above the lowest structure with this stoichiometry   3.25 kcal/mol of atoms



2.
A plane-wave DFT calculation with PBE was carried out for Sc2Ti2Ga7 after structural relaxation.

Unit cell a=7.8941 b=9.3959 c=6.0509 alpha=90.00 beta=90.00 gamma=90.00
Closest atoms and distances in Å follow each position.
Space group Cmmm (No. 65)
Inequivalent atoms, fractional coordinates:
Sc: 0.1829 0.0000 0.0000 [4 per cell]  6 Ga 2.76-2.81, 1 Sc 2.89
Ti: 0.0000 0.2862 0.5000 [4 per cell]  7 Ga 2.62-2.69
Ga: 0.0000 0.0000 0.5000 [2 per cell]  2 Ti 2.69
Ga: 0.0000 0.5000 0.2111 [4 per cell]  1 Ga 2.55, 2 Ti 2.66, 2 Sc 2.81
Ga: 0.2500 0.2500 0.2217 [8 per cell]  2 Ti 2.62, 1 Ga 2.68, 2 Sc 2.76

Results
ΔH_f (0 K)   2 kJ per mole of atoms



3.
A plane-wave DFT calculation with PBE was carried out for Mn2SiPb after structural relaxation.

Unit cell a=4.2995 b=4.2995 c=17.1046 alpha=90.00 beta=90.00 gamma=90.00
Closest atoms and distances in Å follow each position.
Space group I-42d (No. 122)
Inequivalent atoms, fractional coordinates:
Mn: 0.1827 0.2500 0.1250 [8 per cell]  2 Si 2.52, 2 Mn 2.66, 2 Pb 2.75
Si: 0.0000 0.0000 0.0000 [4 per cell]  4 Mn 2.52
Pb: 0.0000 0.0000 0.5000 [4 per cell]  4 Mn 2.75, 4 Si 3.04

Results
Raw formation energy   0.60 eV/atom
Energy above the lowest structure with this stoichiometry   9.01 kcal/mol of atoms



4.
A plane-wave DFT calculation with PBE was carried out for Pr2ErHg after structural relaxation.

Unit cell a=7.8528 b=7.8528 c=7.8528 alpha=90.00 beta=90.00 gamma=90.00
Closest atoms and distances in Å follow each position.
Space group Fm-3m (No. 225)
Inequivalent atoms, fractional coordinates:
Pr: 0.2500 0.2500 0.2500 [8 per cell]  4 Er 3.40, 4 Hg 3.40
Er: 0.0000 0.0000 0.0000 [4 per cell]  8 Pr 3.40
Hg: 0.0000 0.0000 0.5000 [4 per cell]  8 Pr 3.40

Results
ΔH_f (0 K)   -8 kJ per mole of atoms
Energy above the lowest structure with this stoichiometry   3.39 kcal/mol of atoms



5.
A plane-wave DFT calculation with PBE was carried out for NpIn2O6 after structural relaxation.

Unit cell a=5.0005 b=5.0005 c=9.9688 alpha=90.00 beta=90.00 gamma=90.00
Closest atoms and distances in Å follow each position.
Space group P4_2/mnm (No. 136)
Inequivalent atoms, fractional coordinates:
Np: 0.0000 0.0000 0.0000 [2 per cell]  6 O 2.09
In: 0.0000 0.0000 0.3343 [4 per cell]  6 O 2.18-2.21
O: 0.1924 0.1924 0.1590 [8 per cell]  1 Np 2.09, 2 In 2.18-2.21
O: 0.2043 0.2043 0.5000 [4 per cell]  1 Np 2.09, 2 In 2.19

Results
Raw formation energy   -2.07 eV/atom



6.
A plane-wave DFT calculation with PBE was carried out for RbSbTe2N after structural relaxation.

Unit cell a=6.3124 b=6.3124 c=4.9508 alpha=90.00 beta=90.00 gamma=90.00
Closest atoms and distances in Å follow each position.
Space group P4/mmm (No. 123)
Inequivalent atoms, fractional coordinates:
Rb: 0.0000 0.0000 0.0000 [1 per cell]  2 N 2.48
Sb: 0.5000 0.5000 0.5000 [1 per cell]  8 Te 4.01, 4 N 4.46
Te: 0.0000 0.5000 0.0000 [2 per cell]  2 Rb 3.16
N: 0.0000 0.0000 0.5000 [1 per cell]  2 Rb 2.48

Results
Raw formation energy   1.58 eV/atom
Energy above the lowest structure with this stoichiometry   28.62 kcal/mol of atoms



7.
A plane-wave DFT calculation with PBE was carried out for BeVOs2 after structural relaxation.

Unit cell a=2.9506 b=2.9506 c=5.7415 alpha=90.00 beta=90.00 gamma=90.00
Closest atoms and distances in Å follow each position.
Space group P4/mmm (No. 123)
Inequivalent atoms, fractional coordinates:
Be: 0.0000 0.0000 0.0000 [1 per cell]  8 Os 2.49
V: 0.0000 0.0000 0.5000 [1 per cell]  8 Os 2.58, 2 Be 2.87
Os: 0.5000 0.5000 0.2357 [2 per cell]  4 Be 2.49, 4 V 2.58, 1 Os 2.71

Results
ΔH_f (0 K)   -26 kJ per mole of atoms



8.
A plane-wave DFT calculation with PBE was carried out for VFe2Ni3 after structural relaxation.

Unit cell a=4.9865 b=12.3517 c=4.5808 alpha=90.00 beta=90.00 gamma=90.00
Closest atoms and distances in Å follow each position.
Space group Cmcm (No. 63)
Inequivalent atoms, fractional coordinates:
V: 0.0000 0.1553 0.2500 [4 per cell]  8 Ni 2.45-2.61, 4 Fe 2.56
Fe: 0.2485 0.5000 0.0000 [8 per cell]  4 Fe 2.29-2.51, 4 Ni 2.44-2.54, 2 V 2.56
Ni: 0.0000 0.3467 0.7500 [4 per cell]  6 Ni 2.46-2.63, 2 V 2.49, 4 Fe 2.54
Ni: 0.2473 0.1746 0.7500 [8 per cell]  2 Fe 2.44, 3 V 2.45-2.61, 5 Ni 2.46-2.63

Results
ΔH_f (0 K)   5 kJ per mole of atoms
Energy above the lowest structure with this stoichiometry   1.22 kcal/mol of atoms



9.
A plane-wave DFT calculation with PBE was carried out for Ba2CaTlH after structural relaxation.

Unit cell a=5.7224 b=5.7224 c=5.1506 alpha=90.00 beta=90.00 gamma=90.00
Closest atoms and distances in Å follow each position.
Space group P4/mmm (No. 123)
Inequivalent atoms, fractional coordinates:
Ba: 0.0000 0.5000 0.0000 [2 per cell]  2 H 2.86
Ca: 0.0000 0.0000 0.5000 [1 per cell]  8 Ba 3.85, 4 Tl 4.05
Tl: 0.5000 0.5000 0.5000 [1 per cell]  2 H 2.58
H: 0.5000 0.5000 0.0000 [1 per cell]  2 Tl 2.58, 4 Ba 2.86

Results
Energy above the lowest structure with this stoichiometry   2.49 kcal/mol of atoms



| no. | total DFT energy (no corrections) (eV per atom) |
| --- | --- |
| 1 | -6.78 |
| 2 | -4.50 |
| 3 | -6.27 |
| 4 | -3.69 |
| 5 | -7.42 |
| 6 | -2.36 |
| 7 | -9.10 |
| 8 | -7.18 |
| 9 | -2.48 |